{"formula": "KPbW2", "functional": "PBE-GGA", "state": "optimized geometry", "lattice_angstrom": [[3.317, 0.000, 0.000], [0.000, 3.317, 0.000], [0.000, 0.000, 9.115]], "species": ["K", "Pb", "W", "W"], "frac_coords": [[0.000, 0.000, 0.000], [0.500, 0.500, 0.319], [0.000, 0.000, 0.555], [0.500, 0.500, 0.681]], "total_magnetization_mub_per_atom": 0.000, "delta_e_f_mev_per_atom": 689}